Entry 1:
# YAgSnS3 (PBE, optimized geometry)
data_YAgSnS3
_chemical_formula_sum 'Y2 Ag2 Sn2 S6'
_cell_length_a 8.860
_cell_length_b 8.860
_cell_length_c 8.332
_cell_angle_alpha 103.54
_cell_angle_beta 103.54
_cell_angle_gamma 25.52
_space_group_name_H-M_alt 'P 1'
_space_group_IT_number 1
_space_group_name_Hall 'P 1'
loop_
_atom_site_label
_atom_site_type_symbol
_atom_site_fract_x
_atom_site_fract_y
_atom_site_fract_z
Y1 Y 0.165 0.165 0.089
Y2 Y 0.835 0.835 0.911
Ag1 Ag 0.474 0.474 0.785
Ag2 Ag 0.526 0.526 0.215
Sn1 Sn 0.133 0.133 0.575
Sn2 Sn 0.867 0.867 0.425
S1 S 0.000 0.000 0.000
S2 S 0.316 0.316 0.674
S3 S 0.328 0.328 0.144
S4 S 0.500 0.500 0.500
S5 S 0.672 0.672 0.856
S6 S 0.684 0.684 0.326
# magnetic moment	0.00	μB per formula unit
# offset from the most stable computed form	18	meV/atom
# calculated density	5.0	g cm⁻³
# volume	273.5	Å³/cell
# energy	-63.10	eV for the cell shown

=====

Entry 2:
# Co (PBE, optimized geometry)
data_Co
_chemical_formula_sum 'Co18'
_cell_length_a 4.250
_cell_length_b 4.250
_cell_length_c 27.819
_cell_angle_alpha 90.40
_cell_angle_beta 90.40
_cell_angle_gamma 48.21
_space_group_name_H-M_alt 'P 1'
_space_group_IT_number 1
_space_group_name_Hall 'P 1'
loop_
_atom_site_label
_atom_site_type_symbol
_atom_site_fract_x
_atom_site_fract_y
_atom_site_fract_z
Co1 Co 0.049 0.049 0.400
Co2 Co 0.051 0.051 0.686
Co3 Co 0.150 0.150 0.486
Co4 Co 0.250 0.250 0.571
Co5 Co 0.251 0.251 0.287
Co6 Co 0.349 0.349 0.372
Co7 Co 0.350 0.350 0.657
Co8 Co 0.449 0.449 0.737
Co9 Co 0.450 0.450 0.458
Co10 Co 0.550 0.550 0.542
Co11 Co 0.551 0.551 0.263
Co12 Co 0.650 0.650 0.343
Co13 Co 0.651 0.651 0.628
Co14 Co 0.749 0.749 0.713
Co15 Co 0.750 0.750 0.429
Co16 Co 0.850 0.850 0.514
Co17 Co 0.949 0.949 0.314
Co18 Co 0.951 0.951 0.600
# magnetic moment	1.67	μB per formula unit
# offset from the most stable computed form	267	meV/atom
# calculated density	4.7	g cm⁻³
# volume	374.6	Å³/cell
# energy	-123.11	eV for the cell shown

=====

Entry 3:
# Ba2IrPt (PBE, optimized geometry)
data_Ba2IrPt
_chemical_formula_sum 'Ba2 Ir1 Pt1'
_cell_length_a 5.254
_cell_length_b 5.254
_cell_length_c 5.254
_cell_angle_alpha 60.00
_cell_angle_beta 60.00
_cell_angle_gamma 60.00
_space_group_name_H-M_alt 'P 1'
_space_group_IT_number 1
_space_group_name_Hall 'P 1'
loop_
_atom_site_label
_atom_site_type_symbol
_atom_site_fract_x
_atom_site_fract_y
_atom_site_fract_z
Ba1 Ba 0.000 0.000 0.000
Ba2 Ba 0.250 0.250 0.250
Ir1 Ir 0.750 0.750 0.750
Pt1 Pt 0.500 0.500 0.500
# magnetic moment	0.02	μB per formula unit
# calculated density	10.7	g cm⁻³
# volume	102.6	Å³/cell
# energy	-18.04	eV for the cell shown

=====

Entry 4:
# SmTaGa (PBE, optimized geometry)
data_SmTaGa
_chemical_formula_sum 'Sm1 Ta1 Ga1'
_cell_length_a 4.652
_cell_length_b 4.652
_cell_length_c 4.652
_cell_angle_alpha 60.00
_cell_angle_beta 60.00
_cell_angle_gamma 60.00
_space_group_name_H-M_alt 'P 1'
_space_group_IT_number 1
_space_group_name_Hall 'P 1'
loop_
_atom_site_label
_atom_site_type_symbol
_atom_site_fract_x
_atom_site_fract_y
_atom_site_fract_z
Sm1 Sm 0.000 0.000 0.000
Ta1 Ta 0.500 0.500 0.500
Ga1 Ga 0.250 0.250 0.250
# magnetic moment	0.00	μB per formula unit
# offset from the most stable computed form	0	meV/atom
# calculated density	9.4	g cm⁻³
# volume	71.2	Å³/cell
# energy	-18.55	eV for the cell shown

=====

Entry 5:
# GaCuS2 (PBE, optimized geometry)
data_GaCuS2
_chemical_formula_sum 'Ga2 Cu2 S4'
_cell_length_a 6.520
_cell_length_b 6.520
_cell_length_c 6.520
_cell_angle_alpha 131.56
_cell_angle_beta 131.56
_cell_angle_gamma 70.92
_space_group_name_H-M_alt 'P 1'
_space_group_IT_number 1
_space_group_name_Hall 'P 1'
loop_
_atom_site_label
_atom_site_type_symbol
_atom_site_fract_x
_atom_site_fract_y
_atom_site_fract_z
Ga1 Ga 0.000 0.000 0.000
Ga2 Ga 0.750 0.250 0.500
Cu1 Cu 0.250 0.750 0.500
Cu2 Cu 0.500 0.500 0.000
S1 S 0.127 0.625 0.002
S2 S 0.375 0.377 0.502
S3 S 0.623 0.125 0.998
S4 S 0.875 0.873 0.498
# calculated density	4.3	g cm⁻³
# volume	152.0	Å³/cell
# energy	-34.67	eV for the cell shown

=====

Entry 6:
# YTcW (PBE, optimized geometry)
data_YTcW
_chemical_formula_sum 'Y1 Tc1 W1'
_cell_length_a 4.490
_cell_length_b 4.490
_cell_length_c 4.490
_cell_angle_alpha 60.00
_cell_angle_beta 60.00
_cell_angle_gamma 60.00
_space_group_name_H-M_alt 'P 1'
_space_group_IT_number 1
_space_group_name_Hall 'P 1'
loop_
_atom_site_label
_atom_site_type_symbol
_atom_site_fract_x
_atom_site_fract_y
_atom_site_fract_z
Y1 Y 0.000 0.000 0.000
Tc1 Tc 0.750 0.750 0.750
W1 W 0.500 0.500 0.500
# magnetic moment	0.00	μB per formula unit
# offset from the most stable computed form	56	meV/atom
# calculated density	9.6	g cm⁻³
# volume	64.0	Å³/cell
# energy	-27.98	eV for the cell shown

=====

Entry 7:
# TePtPbO (PBE, optimized geometry)
data_TePtPbO
_chemical_formula_sum 'Te4 Pt4 Pb4 O4'
_cell_length_a 5.751
_cell_length_b 7.163
_cell_length_c 8.586
_cell_angle_alpha 90.00
_cell_angle_beta 90.00
_cell_angle_gamma 90.00
_space_group_name_H-M_alt 'P 1'
_space_group_IT_number 1
_space_group_name_Hall 'P 1'
loop_
_atom_site_label
_atom_site_type_symbol
_atom_site_fract_x
_atom_site_fract_y
_atom_site_fract_z
Te1 Te 0.167 0.084 0.487
Te2 Te 0.333 0.916 0.987
Te3 Te 0.667 0.416 0.513
Te4 Te 0.833 0.584 0.013
Pt1 Pt 0.163 0.710 0.202
Pt2 Pt 0.337 0.290 0.702
Pt3 Pt 0.663 0.790 0.798
Pt4 Pt 0.837 0.210 0.298
Pb1 Pb 0.145 0.659 0.653
Pb2 Pb 0.355 0.341 0.153
Pb3 Pb 0.645 0.841 0.347
Pb4 Pb 0.855 0.159 0.847
O1 O 0.013 0.151 0.096
O2 O 0.487 0.849 0.596
O3 O 0.513 0.349 0.904
O4 O 0.987 0.651 0.404
# magnetic moment	0.00	μB per formula unit
# offset from the most stable computed form	256	meV/atom
# calculated density	10.3	g cm⁻³
# volume	353.7	Å³/cell
# energy	-77.32	eV for the cell shown

=====

Entry 8:
# CoMoIr2 (PBE, optimized geometry)
data_CoMoIr2
_chemical_formula_sum 'Co2 Mo2 Ir4'
_cell_length_a 4.304
_cell_length_b 5.435
_cell_length_c 5.435
_cell_angle_alpha 60.44
_cell_angle_beta 90.00
_cell_angle_gamma 90.00
_space_group_name_H-M_alt 'P 1'
_space_group_IT_number 1
_space_group_name_Hall 'P 1'
loop_
_atom_site_label
_atom_site_type_symbol
_atom_site_fract_x
_atom_site_fract_y
_atom_site_fract_z
Co1 Co 0.000 0.249 0.751
Co2 Co 0.000 0.751 0.249
Mo1 Mo 0.000 0.749 0.749
Mo2 Mo 0.500 0.079 0.079
Ir1 Ir 0.000 0.250 0.250
Ir2 Ir 0.500 0.089 0.588
Ir3 Ir 0.500 0.580 0.580
Ir4 Ir 0.500 0.588 0.089
# magnetic moment	0.52	μB per formula unit
# offset from the most stable computed form	7	meV/atom
# calculated density	16.2	g cm⁻³
# volume	110.6	Å³/cell
# energy	-73.22	eV for the cell shown

=====

Entry 9:
# DyHo2Ge4Pd4 (PBE, optimized geometry)
data_DyHo2Ge4Pd4
_chemical_formula_sum 'Dy1 Ho2 Ge4 Pd4'
_cell_length_a 8.114
_cell_length_b 8.114
_cell_length_c 8.114
_cell_angle_alpha 150.18
_cell_angle_beta 128.09
_cell_angle_gamma 61.02
_space_group_name_H-M_alt 'P 1'
_space_group_IT_number 1
_space_group_name_Hall 'P 1'
loop_
_atom_site_label
_atom_site_type_symbol
_atom_site_fract_x
_atom_site_fract_y
_atom_site_fract_z
Dy1 Dy 0.000 0.000 0.000
Ho1 Ho 0.374 0.874 0.500
Ho2 Ho 0.626 0.126 0.500
Ge1 Ge 0.218 0.218 0.000
Ge2 Ge 0.312 0.500 0.812
Ge3 Ge 0.688 0.500 0.188
Ge4 Ge 0.782 0.782 0.000
Pd1 Pd 0.026 0.325 0.701
Pd2 Pd 0.376 0.675 0.701
Pd3 Pd 0.624 0.325 0.299
Pd4 Pd 0.974 0.675 0.299
# magnetic moment	0.01	μB per formula unit
# calculated density	9.7	g cm⁻³
# volume	207.3	Å³/cell
# energy	-62.98	eV for the cell shown

=====

Entry 10:
# Lu2Ag2SnPb (PBE, optimized geometry)
data_Lu2Ag2SnPb
_chemical_formula_sum 'Lu2 Ag2 Sn1 Pb1'
_cell_length_a 4.735
_cell_length_b 4.735
_cell_length_c 7.331
_cell_angle_alpha 90.00
_cell_angle_beta 90.00
_cell_angle_gamma 120.00
_space_group_name_H-M_alt 'P 1'
_space_group_IT_number 1
_space_group_name_Hall 'P 1'
loop_
_atom_site_label
_atom_site_type_symbol
_atom_site_fract_x
_atom_site_fract_y
_atom_site_fract_z
Lu1 Lu 0.000 0.000 0.000
Lu2 Lu 0.000 0.000 0.495
Ag1 Ag 0.333 0.667 0.185
Ag2 Ag 0.667 0.333 0.669
Sn1 Sn 0.667 0.333 0.274
Pb1 Pb 0.333 0.667 0.777
# magnetic moment	0.00	μB per formula unit
# calculated density	10.4	g cm⁻³
# volume	142.4	Å³/cell
# energy	-24.94	eV for the cell shown

=====

Entry 11:
# NaTmZnTe3 (PBE, optimized geometry)
data_NaTmZnTe3
_chemical_formula_sum 'Na4 Tm4 Zn4 Te12'
_cell_length_a 11.498
_cell_length_b 4.279
_cell_length_c 14.746
_cell_angle_alpha 90.00
_cell_angle_beta 90.00
_cell_angle_gamma 90.00
_space_group_name_H-M_alt 'P 1'
_space_group_IT_number 1
_space_group_name_Hall 'P 1'
loop_
_atom_site_label
_atom_site_type_symbol
_atom_site_fract_x
_atom_site_fract_y
_atom_site_fract_z
Na1 Na 0.233 0.250 0.014
Na2 Na 0.267 0.750 0.514
Na3 Na 0.733 0.250 0.486
Na4 Na 0.767 0.750 0.986
Tm1 Tm 0.011 0.750 0.747
Tm2 Tm 0.489 0.250 0.247
Tm3 Tm 0.511 0.750 0.753
Tm4 Tm 0.989 0.250 0.253
Zn1 Zn 0.241 0.750 0.220
Zn2 Zn 0.259 0.250 0.720
Zn3 Zn 0.741 0.750 0.280
Zn4 Zn 0.759 0.250 0.780
Te1 Te 0.053 0.750 0.115
Te2 Te 0.076 0.250 0.609
Te3 Te 0.241 0.250 0.334
Te4 Te 0.259 0.750 0.834
Te5 Te 0.424 0.750 0.109
Te6 Te 0.447 0.250 0.615
Te7 Te 0.553 0.750 0.385
Te8 Te 0.576 0.250 0.891
Te9 Te 0.741 0.250 0.166
Te10 Te 0.759 0.750 0.666
Te11 Te 0.924 0.750 0.391
Te12 Te 0.947 0.250 0.885
# magnetic moment	0.00	μB per formula unit
# offset from the most stable computed form	0	meV/atom
# calculated density	5.9	g cm⁻³
# volume	725.6	Å³/cell
# energy	-89.26	eV for the cell shown

=====

Entry 12:
# YTmAsO (PBE, optimized geometry)
data_YTmAsO
_chemical_formula_sum 'Y2 Tm2 As2 O2'
_cell_length_a 4.183
_cell_length_b 7.475
_cell_length_c 5.889
_cell_angle_alpha 90.00
_cell_angle_beta 90.00
_cell_angle_gamma 90.00
_space_group_name_H-M_alt 'P 1'
_space_group_IT_number 1
_space_group_name_Hall 'P 1'
loop_
_atom_site_label
_atom_site_type_symbol
_atom_site_fract_x
_atom_site_fract_y
_atom_site_fract_z
Y1 Y 0.000 0.213 0.000
Y2 Y 0.000 0.787 0.500
Tm1 Tm 0.500 0.387 0.575
Tm2 Tm 0.500 0.613 0.075
As1 As 0.000 0.165 0.491
As2 As 0.000 0.835 0.991
O1 O 0.500 0.336 0.938
O2 O 0.500 0.664 0.438
# magnetic moment	0.01	μB per formula unit
# offset from the most stable computed form	0	meV/atom
# calculated density	6.3	g cm⁻³
# volume	184.2	Å³/cell
# energy	-56.94	eV for the cell shown